This record from Alexandria describes a geometry-optimized Zr2TeAu structure. The functional is PBE.

Calculated values
As for the total DFT energy (no corrections): -6.374 eV per atom. The calculated volume comes out at 22.13 Å³/atom. The distance to the lowest polymorph of the same formula is 9 kJ/mol of formula units. Its formation energy from raw total energies is -0.4952 eV/atom. As for the density: 9.5 Mg/m³.

Cell: 10.5625 3.4994 4.8824 Å, 90.00 101.21 90.00°
Fractional coordinates of all 8 atoms:
Zr: 0.0000 0.0000 0.0000
Zr: 0.2374 0.0000 0.5827
Zr: 0.5000 0.5000 0.0000
Zr: 0.7374 0.5000 0.5827
Te: 0.0067 0.5000 0.5033
Te: 0.5067 0.0000 0.5033
Au: 0.2419 0.5000 0.0934
Au: 0.7419 0.0000 0.0934